Record 1
4
Lattice="-0.6070 -2.2982 3.3232 -2.4939 -0.3728 -3.2250 5.2967 -3.0474 -1.1400" Properties=species:S:1:pos:R:3 comment="BaSiRh2 PBEsol relaxed" space_group="C2/m, No. 12" e_form_raw_mev_per_atom=-555 pbc="T T T"
Si 2.6483 -1.5237 -0.5700
Rh 1.7744 -3.6091 0.3399
Rh 0.4214 -2.1093 -1.3817
Ba -0.3035 -1.1491 1.6616

Record 2
4
Lattice="-2.4278 1.2537 0.3081 -0.9459 -1.2807 -2.2419 -2.7067 -6.4244 4.8117" Properties=species:S:1:pos:R:3 comment="Re2HgCl PBEsol relaxed" space_group="P4/mmm, No. 123" polymorph_energy_ev_per_atom=1.094 e_form_raw_mev_per_atom=1342 pbc="T T T"
Re -2.0645 -4.9001 3.6700
Re -0.6422 -1.5243 1.1417
Hg -3.0402 -3.2257 1.4390
Cl -1.6868 -0.0135 -0.9669

Record 3
5
Lattice="-0.4221 4.1251 -1.5315 -4.2887 -0.7299 -0.7839 -1.2591 1.8048 5.2080" Properties=species:S:1:pos:R:3 comment="KCo2SnGe PBEsol relaxed" formation_energy_ev_per_atom=2.14 space_group="P4/mmm, No. 123" pbc="T T T"
K 0.0000 0.0000 0.0000
Ge -2.9850 2.6000 1.4463
Co -2.1443 -0.3649 -0.3920
Co -0.2111 2.0625 -0.7658
Sn -0.6296 0.9024 2.6040

Record 4
5
Lattice="4.7754 0.0000 0.0000 0.0000 4.7754 0.0000 0.0000 0.0000 4.7754" Properties=species:S:1:pos:R:3 comment="BaCrPd3 PBEsol relaxed" formation_energy_ev_per_atom=0.27 space_group="Pm-3m, No. 221" pbc="T T T"
Cr 0.0000 0.0000 0.0000
Ba 2.3877 2.3877 2.3877
Pd 0.0000 2.3877 0.0000
Pd 0.0000 0.0000 2.3877
Pd 2.3877 0.0000 0.0000

Record 5
4
Lattice="5.2417 0.0000 0.0000 2.6209 4.5395 0.0000 2.6209 1.5132 4.2799" Properties=species:S:1:pos:R:3 comment="Pm2ZnIn PBEsol relaxed" formation_energy_ev_per_atom=-0.41 space_group="Fm-3m, No. 225" pbc="T T T"
Zn 5.2417 3.0263 2.1399
In 0.0000 0.0000 0.0000
Pm 2.6209 1.5132 1.0700
Pm 7.8626 4.5395 3.2099

Record 6
4
Lattice="3.4700 0.0000 0.0000 1.7350 4.6544 -0.0197 1.7350 1.6277 4.3605" Properties=species:S:1:pos:R:3 comment="CaCo2Cl PBEsol relaxed" space_group="Imm2, No. 44" polymorph_energy_ev_per_atom=0.051 e_form_raw_mev_per_atom=115 pbc="T T T"
Ca 3.4700 3.0859 2.1323
Co 3.4700 6.2419 4.3130
Co 5.2050 5.1313 3.5456
Cl 1.7350 1.2461 0.8610

Record 7
3
Lattice="-1.8045 1.8508 1.9293 -1.1683 -2.7950 -1.1079 2.4633 -3.1350 5.3113" Properties=species:S:1:pos:R:3 comment="LiZnSb PBEsol relaxed" space_group="P3m1, No. 156" e_form_raw_mev_per_atom=-44 pbc="T T T"
Sb 0.2666 -3.3424 3.4557
Zn -0.8111 -0.6922 2.6016
Li 0.0350 -0.0445 0.0754

Record 8
4
Lattice="3.7181 0.0000 0.0000 0.0000 3.8744 0.0000 -1.8590 -1.9372 7.4061" Properties=species:S:1:pos:R:3 comment="SrTaTe2 PBEsol relaxed" space_group="Imm2, No. 44" polymorph_energy_ev_per_atom=0.004 e_form_raw_mev_per_atom=-475 pbc="T T T"
Sr 1.8590 1.9372 0.7229
Te 1.8590 1.9372 6.4214
Te 1.8590 0.0000 3.2868
Ta 0.0000 1.9372 4.3811

Record 9
5
Lattice="-0.4743 4.5162 -0.6044 -0.6989 -0.7704 -5.2077 -5.2356 -0.4470 0.7688" Properties=species:S:1:pos:R:3 comment="Y2TiCrRh PBEsol relaxed" formation_energy_ev_per_atom=0.39 space_group="P4/mmm, No. 123" pbc="T T T"
Y -2.6178 -0.2235 0.3844
Y -0.3495 -0.3852 -2.6038
Cr -3.2044 1.6494 -2.5217
Rh 0.0000 0.0000 0.0000
Ti -0.2372 2.2581 -0.3022

Record 10
4
Lattice="2.9478 0.0000 0.0000 0.0000 2.9478 0.0000 0.0000 0.0000 6.0228" Properties=species:S:1:pos:R:3 comment="MgFe2Mo PBEsol relaxed" formation_energy_ev_per_atom=0.16 space_group="P4/mmm, No. 123" pbc="T T T"
Fe 0.0000 0.0000 4.3544
Fe 0.0000 0.0000 1.6684
Mg 1.4739 1.4739 0.0000
Mo 1.4739 1.4739 3.0114

Record 11
32
Lattice="6.3147 0.0000 0.0000 0.0000 8.5948 0.0339 0.0000 -0.8969 9.6558" Properties=species:S:1:pos:R:3 comment="Sm2SiTeO4 PBEsol relaxed" space_group="P2_1/c, No. 14" polymorph_energy_ev_per_atom=0.029 e_form_raw_mev_per_atom=-2904 pbc="T T T"
Sm 4.3930 6.8682 3.3728
Sm 5.0791 2.5708 3.3558
Sm 1.9217 0.8297 6.3169
Sm 1.2356 5.1271 6.3338
Sm 5.3558 1.8294 8.6365
Sm 2.1984 1.5711 1.0362
Sm 0.9589 5.8685 1.0531
Sm 4.1163 6.1267 8.6535
Si 1.2055 7.3260 8.4812
Si 5.1092 0.3718 1.2085
Si 4.3629 4.6692 1.2254
Si 1.9519 3.0286 8.4642
Te 1.8195 2.9255 3.9575
Te 4.9768 0.4749 5.7152
Te 4.4953 4.7723 5.7322
Te 1.3379 7.2229 3.9744
O 0.8476 2.8484 7.2522
O 4.0049 0.5520 2.4205
O 5.4671 4.8494 2.4374
O 2.3098 7.1458 7.2692
O 3.1158 1.9537 8.1281
O 6.2732 1.4468 1.5446
O 3.1989 5.7442 1.5615
O 0.0415 6.2511 8.1451
O 0.8544 0.3230 8.4651
O 5.0974 4.0901 9.4487
O 5.4603 7.3749 1.2246
O 2.3030 4.6204 8.4820
O 4.3747 -0.2073 9.4317
O 1.2173 3.6077 0.2410
O 1.9400 7.9051 0.2580
O 4.0117 3.0775 1.2076

Record 12
5
Lattice="-1.2989 0.0032 3.8322 -3.7671 -0.7438 -1.2762 0.7034 -3.9774 0.2417" Properties=species:S:1:pos:R:3 comment="SnPtC3 PBEsol relaxed" formation_energy_ev_per_atom=2.26 space_group="Pm-3m, No. 221" pbc="T T T"
C -1.8836 -0.3719 -0.6381
C 0.3517 -1.9887 0.1209
C -0.6495 0.0016 1.9161
Sn -2.1813 -2.3590 1.3989
Pt 0.0000 0.0000 0.0000

Number 1: DOS at the Fermi energy 1.8 states/eV/cell. Number 2: DOS at the Fermi energy 4.7 states/eV/cell. Number 3: DOS at the Fermi energy 8.1 states/eV/cell. Number 4: DOS at the Fermi energy 6.8 states/eV/cell. Number 5: DOS at the Fermi energy 4.5 states/eV/cell. Number 6: DOS at the Fermi energy 3.1 states/eV/cell. Number 7: DOS at the Fermi energy 1.2 states/eV/cell. Number 8: DOS at the Fermi energy 3.9 states/eV/cell. Number 9: DOS at the Fermi energy 6.2 states/eV/cell. Number 10: DOS at the Fermi energy 1.3 states/eV/cell. Number 11: DOS at the Fermi energy 0.0 states/eV/cell. Number 12: DOS at the Fermi energy 4.5 states/eV/cell.